BaBe after structural relaxation. Source: Alexandria, functional PBE.

a = 4.3882 Å, b = 4.3882 Å, c = 10.1648 Å
α = 90.00°, β = 90.00°, γ = 120.00°
Space group P6_3mc (No. 186)
Unique sites:
1 Ba 0.3333 0.6667 0.0000 x2
2 Be 0.3333 0.6667 0.3174 x2

Values from the calculation:
Its formation energy is 1098 meV/atom. As for the total magnetization: 0.0 μB/f.u. The calculation puts the energy above the most stable polymorph in this dataset at 0.7376 eV/atom.